Record 1
# BeInBi2 | Alexandria via LeMat-Bulk | PBE | relaxed
# calculated density	8.72	g cm⁻³
# total magnetic moment	0.00	μB per formula unit
# VASP energy	-3.02	eV per atom
# volume	412.74	Å³/cell
data_BeInBi2
_chemical_formula_sum 'Be4 In4 Bi8'
_space_group_name_H-M_alt 'F m -3 m'
_space_group_IT_number 225
_space_group_name_Hall '-F 4 2 3'
_cell_length_a 7.445
_cell_length_b 7.445
_cell_length_c 7.445
_cell_angle_alpha 90.00
_cell_angle_beta 90.00
_cell_angle_gamma 90.00
loop_
_atom_site_label
_atom_site_fract_x
_atom_site_fract_y
_atom_site_fract_z
Be1 0.000 0.000 0.000
In1 0.000 0.000 0.500
Bi1 0.250 0.250 0.250

Record 2
# PuScH4 | Alexandria via LeMat-Bulk | PBE | relaxed
# calculated density	7.75	g cm⁻³
# total magnetic moment	5.25	μB per formula unit
# VASP energy	-6.19	eV per atom
# volume	62.76	Å³/cell
data_PuScH4
_chemical_formula_sum 'Pu1 Sc1 H4'
_space_group_name_H-M_alt 'P 4/m m m'
_space_group_IT_number 123
_space_group_name_Hall '-P 4 2'
_cell_length_a 3.478
_cell_length_b 3.478
_cell_length_c 5.188
_cell_angle_alpha 90.00
_cell_angle_beta 90.00
_cell_angle_gamma 90.00
loop_
_atom_site_label
_atom_site_fract_x
_atom_site_fract_y
_atom_site_fract_z
Pu1 0.000 0.000 0.000
Sc1 0.500 0.500 0.500
H1 0.000 0.500 0.278

Record 3
# Nd2PuMnN4 | Alexandria via LeMat-Bulk | PBE | relaxed
# calculated density	8.72	g cm⁻³
# total magnetic moment	8.04	μB per formula unit
# E_form (uncorrected)	-882.2	meV per atom
# VASP energy	-9.17	eV per atom
# volume	490.01	Å³/cell
data_Nd2PuMnN4
_chemical_formula_sum 'Nd8 Pu4 Mn4 N16'
_space_group_name_H-M_alt 'C m c m'
_space_group_IT_number 63
_space_group_name_Hall '-C 2c 2'
_cell_length_a 3.442
_cell_length_b 11.661
_cell_length_c 12.210
_cell_angle_alpha 90.00
_cell_angle_beta 90.00
_cell_angle_gamma 90.00
loop_
_atom_site_label
_atom_site_fract_x
_atom_site_fract_y
_atom_site_fract_z
Nd1 0.000 0.132 0.046
Pu1 0.000 0.392 0.250
Mn1 0.000 0.332 0.750
N1 0.000 0.076 0.250
N2 0.000 0.223 0.639
N3 0.000 0.500 0.000

Record 4
# Sr5DyHg6 | Alexandria via LeMat-Bulk | PBE | relaxed
# calculated density	8.11	g cm⁻³
# total magnetic moment	0.00	μB per formula unit
# VASP energy	-1.75	eV per atom
# volume	369.29	Å³/cell
data_Sr5DyHg6
_chemical_formula_sum 'Sr5 Dy1 Hg6'
_space_group_name_H-M_alt 'P 1 2/m 1'
_space_group_IT_number 10
_space_group_name_Hall '-P 2y'
_cell_length_a 5.568
_cell_length_b 7.936
_cell_length_c 8.806
_cell_angle_alpha 90.00
_cell_angle_beta 108.38
_cell_angle_gamma 90.00
loop_
_atom_site_label
_atom_site_fract_x
_atom_site_fract_y
_atom_site_fract_z
Sr1 0.000 0.000 0.000
Sr2 0.332 0.000 0.663
Sr3 0.333 0.500 0.665
Dy1 0.000 0.500 0.000
Hg1 0.158 0.260 0.317
Hg2 0.500 0.269 0.000

Record 5
# AgPtW2 | Alexandria via LeMat-Bulk | PBE | relaxed
# calculated density	17.30	g cm⁻³
# total magnetic moment	0.00	μB per formula unit
# VASP energy	-8.41	eV per atom
# volume	64.37	Å³/cell
data_AgPtW2
_chemical_formula_sum 'Ag1 Pt1 W2'
_space_group_name_H-M_alt 'P 4/m m m'
_space_group_IT_number 123
_space_group_name_Hall '-P 4 2'
_cell_length_a 2.736
_cell_length_b 2.736
_cell_length_c 8.600
_cell_angle_alpha 90.00
_cell_angle_beta 90.00
_cell_angle_gamma 90.00
loop_
_atom_site_label
_atom_site_fract_x
_atom_site_fract_y
_atom_site_fract_z
Ag1 0.000 0.000 0.000
Pt1 0.000 0.000 0.500
W1 0.500 0.500 0.258

Record 6
# Pr2DySc | Alexandria via LeMat-Bulk | PBE | relaxed
# calculated density	6.38	g cm⁻³
# total magnetic moment	0.00	μB per formula unit
# VASP energy	-5.08	eV per atom
# volume	127.37	Å³/cell
data_Pr2DySc
_chemical_formula_sum 'Pr2 Dy1 Sc1'
_space_group_name_H-M_alt 'P 4/m m m'
_space_group_IT_number 123
_space_group_name_Hall '-P 4 2'
_cell_length_a 3.641
_cell_length_b 3.641
_cell_length_c 9.608
_cell_angle_alpha 90.00
_cell_angle_beta 90.00
_cell_angle_gamma 90.00
loop_
_atom_site_label
_atom_site_fract_x
_atom_site_fract_y
_atom_site_fract_z
Pr1 0.000 0.000 0.238
Dy1 0.500 0.500 0.500
Sc1 0.500 0.500 0.000

Question: Among the records above, which one has the highest VASP energy?
Answer: Sr5DyHg6

What did the first record say?
# BeInBi2 | Alexandria via LeMat-Bulk | PBE | relaxed
# calculated density	8.72	g cm⁻³
# total magnetic moment	0.00	μB per formula unit
# VASP energy	-3.02	eV per atom
# volume	412.74	Å³/cell
data_BeInBi2
_chemical_formula_sum 'Be4 In4 Bi8'
_space_group_name_H-M_alt 'F m -3 m'
_space_group_IT_number 225
_space_group_name_Hall '-F 4 2 3'
_cell_length_a 7.445
_cell_length_b 7.445
_cell_length_c 7.445
_cell_angle_alpha 90.00
_cell_angle_beta 90.00
_cell_angle_gamma 90.00
loop_
_atom_site_label
_atom_site_fract_x
_atom_site_fract_y
_atom_site_fract_z
Be1 0.000 0.000 0.000
In1 0.000 0.000 0.500
Bi1 0.250 0.250 0.250

Question: What is the calculated density in the first record?
Answer: 8.72 g cm⁻³